# 1
Here is a relaxed structure of LuMgVS4 from the Alexandria database. Energies are from GGA-PBEsol.

abc: 7.372 7.393 7.393
angles: 61.23 60.09 60.09
Site moments in Bohr magnetons follow the coordinates.
Element x y z (fractional)
Lu 0.500 0.500 0.500  0.03
Lu 0.500 0.000 0.000  0.03
Mg 0.130 0.120 0.620  0.01
Mg 0.870 0.880 0.380  0.01
V 0.000 0.500 0.000  1.82
V 0.500 0.500 0.000  1.82
S 0.247 0.288 0.218  -0.05
S 0.271 0.735 0.235  -0.02
S 0.760 0.735 0.235  -0.02
S 0.753 0.282 0.212  -0.05
S 0.240 0.265 0.765  -0.02
S 0.247 0.718 0.788  -0.05
S 0.753 0.712 0.782  -0.05
S 0.729 0.265 0.765  -0.02

SG = No. 74
Formation energy from raw total energies = -1.421 eV per atom



# 2
Here is a relaxed structure of Lu3Mg2VS8 from the Alexandria database. Energies are from GGA-PBEsol.

abc: 7.496 7.496 7.496
angles: 60.92 60.92 60.92
Site moments in Bohr magnetons follow the coordinates.
Element x y z (fractional)
Lu 0.000 0.000 0.500  0.01
Lu 0.000 0.500 0.000  0.01
Lu 0.500 0.000 0.000  0.01
Mg 0.376 0.376 0.376  0.01
Mg 0.624 0.624 0.624  0.01
V 0.000 0.000 0.000  1.79
S 0.232 0.232 0.774  -0.02
S 0.768 0.226 0.768  -0.02
S 0.756 0.756 0.756  0.00
S 0.226 0.768 0.768  -0.02
S 0.244 0.244 0.244  0.00
S 0.774 0.232 0.232  -0.02
S 0.768 0.768 0.226  -0.02
S 0.232 0.774 0.232  -0.02

SG = No. 166
Formation energy from raw total energies = -1.656 eV per atom



Computed volume, in the same sequence as the records: 288; 304 Å³ per cell.
Computed calculated density, in the same sequence as the records: 4.37; 4.81 g/cm³.